No. 1
Compound: FeSe2N
Source: Alexandria
Functional: PBE
Structure: relaxed

Calculated values
Size of the total moment in Bohr magnetons per cell: 0.00
E_tot in Ry per atom: -0.391
N(E_F) in states/eV per cell: 2.2
SG: R-3m, No. 166

Cell and atoms, written as POSCAR:
```
FeSe2N
1.0
2.079 0.000 5.868
-1.040 1.801 5.868
-1.040 -1.801 5.868
Se Fe N
2 1 1
direct
0.900 0.900 0.900
0.100 0.100 0.100
0.500 0.500 0.500
0.000 0.000 0.000
```

=====

No. 2
Compound: FeSeN
Source: Alexandria
Functional: PBE
Structure: relaxed

Calculated values
Size of the total moment in Bohr magnetons per cell: 4.05
E_tot in Ry per atom: -0.415
N(E_F) in states/eV per cell: 3.8
SG: P4/nmm, No. 129

Cell and atoms, written as POSCAR:
```
FeSeN
1.0
-1.800 1.667 2.630
-2.877 0.270 -2.141
-2.266 -6.049 2.282
N Se Fe
2 2 2
direct
0.500 0.000 0.486
0.000 0.500 0.514
0.500 0.000 0.230
0.000 0.500 0.770
0.500 0.500 0.000
0.000 0.000 0.000
```

=====

No. 3
Compound: FeSeN3
Source: Alexandria
Functional: PBE
Structure: relaxed

Calculated values
Size of the total moment in Bohr magnetons per cell: 0.00
E_tot in Ry per atom: -0.431
N(E_F) in states/eV per cell: 4.0
SG: Pm-3m, No. 221

Cell and atoms, written as POSCAR:
```
FeSeN3
1.0
3.692 0.000 0.000
0.000 3.692 0.000
0.000 0.000 3.692
N Fe Se
3 1 1
direct
0.000 0.500 0.000
0.500 0.000 0.000
0.000 0.000 0.500
0.000 0.000 0.000
0.500 0.500 0.500
```

=====

No. 4
Compound: Fe2SeN
Source: Alexandria
Functional: PBE
Structure: relaxed

Calculated values
Size of the total moment in Bohr magnetons per cell: 4.22
E_tot in Ry per atom: -0.473
N(E_F) in states/eV per cell: 4.5
SG: Fm-3m, No. 225

Cell and atoms, written as POSCAR:
```
Fe2SeN
1.0
2.838 -0.371 2.786
1.227 3.207 2.041
-0.933 0.385 3.865
Fe N Se
2 1 1
direct
0.750 0.750 0.750
0.250 0.250 0.250
0.000 0.000 0.000
0.500 0.500 0.500
```

=====

No. 5
Compound: FeSe2N
Source: Alexandria
Functional: PBE
Structure: relaxed

Calculated values
Size of the total moment in Bohr magnetons per cell: 3.14
E_tot in Ry per atom: -0.379
N(E_F) in states/eV per cell: 9.5
SG: I-42d, No. 122

Cell and atoms, written as POSCAR:
```
FeSe2N
1.0
5.142 0.000 0.000
0.000 5.142 0.000
2.571 2.571 5.206
Fe N Se
2 2 4
direct
0.000 0.000 0.000
0.750 0.250 0.500
0.500 0.500 0.000
0.250 0.750 0.500
0.875 0.862 0.750
0.375 0.388 0.750
0.138 0.625 0.250
0.612 0.125 0.250
```

=====

No. 6
Compound: Fe2SeN
Source: Alexandria
Functional: PBE
Structure: relaxed

Calculated values
Size of the total moment in Bohr magnetons per cell: 0.00
E_tot in Ry per atom: -0.532
N(E_F) in states/eV per cell: 3.7
SG: I-42d, No. 122

Cell and atoms, written as POSCAR:
```
Fe2SeN
1.0
-1.104 1.099 -4.386
-3.530 -3.031 0.129
-5.230 2.494 -0.529
N Se Fe
2 2 4
direct
0.500 0.500 0.000
0.250 0.750 0.500
0.000 0.000 0.000
0.750 0.250 0.500
0.875 0.783 0.750
0.217 0.625 0.250
0.533 0.125 0.250
0.375 0.467 0.750
```

=====

No. 7
Compound: FeSeN3
Source: Alexandria
Functional: PBE
Structure: relaxed

Calculated values
Size of the total moment in Bohr magnetons per cell: 0.00
E_tot in Ry per atom: -0.377
N(E_F) in states/eV per cell: 3.1
SG: Pm-3m, No. 221

Cell and atoms, written as POSCAR:
```
FeSeN3
1.0
-1.136 1.912 -2.926
-1.610 -3.017 -1.347
-3.103 0.866 1.770
N Fe Se
3 1 1
direct
0.000 0.000 0.500
0.000 0.500 0.000
0.500 0.000 0.000
0.500 0.500 0.500
0.000 0.000 0.000
```

=====

No. 8
Compound: FeSiSe2N
Source: Alexandria
Functional: PBE
Structure: relaxed

Calculated values
Size of the total moment in Bohr magnetons per cell: 0.30
E_tot in Ry per atom: -0.398
N(E_F) in states/eV per cell: 5.1
SG: P4/mmm, No. 123

Cell and atoms, written as POSCAR:
```
FeSiSe2N
1.0
-2.911 -0.626 3.913
3.329 -3.021 1.993
1.485 2.644 1.528
Se N Fe Si
2 1 1 1
direct
0.000 0.500 0.000
0.500 0.000 0.000
0.000 0.000 0.500
0.000 0.000 0.000
0.500 0.500 0.500
```

=====

No. 9
Compound: FeSiSe2N
Source: Alexandria
Functional: PBE
Structure: relaxed

Calculated values
Size of the total moment in Bohr magnetons per cell: 0.01
E_tot in Ry per atom: -0.377
N(E_F) in states/eV per cell: 9.4
SG: P4/mmm, No. 123

Cell and atoms, written as POSCAR:
```
FeSiSe2N
1.0
4.994 0.000 0.000
0.000 4.994 0.000
0.000 0.000 3.226
N Fe Se Si
1 1 2 1
direct
0.000 0.000 0.500
0.500 0.500 0.500
0.500 0.000 0.000
0.000 0.500 0.000
0.000 0.000 0.000
```

=====

No. 10
Compound: SrFeSeN2
Source: Alexandria
Functional: PBE
Structure: relaxed

Calculated values
Size of the total moment in Bohr magnetons per cell: 0.41
E_tot in Ry per atom: -0.429
N(E_F) in states/eV per cell: 2.5
SG: P4/mmm, No. 123

Cell and atoms, written as POSCAR:
```
SrFeSeN2
1.0
-3.852 0.595 -0.288
-0.447 -1.086 3.727
0.638 4.843 1.487
N Fe Sr Se
2 1 1 1
direct
0.000 0.500 0.000
0.500 0.000 0.000
0.000 0.000 0.000
0.500 0.500 0.500
0.000 0.000 0.500
```

=====

No. 11
Compound: SrFeSeN2
Source: Alexandria
Functional: PBE
Structure: relaxed

Calculated values
Size of the total moment in Bohr magnetons per cell: 8.10
E_tot in Ry per atom: -0.315
N(E_F) in states/eV per cell: 3.8
SG: P4/mmm, No. 123

Cell and atoms, written as POSCAR:
```
SrFeSeN2
1.0
-3.985 2.164 1.209
-1.763 -0.866 -4.263
-2.315 -5.412 2.057
Sr Fe N Se
1 1 2 1
direct
0.000 0.000 0.000
0.500 0.500 0.500
0.000 0.500 0.000
0.500 0.000 0.000
0.000 0.000 0.500
```

=====

No. 12
Compound: TaFeSe2N
Source: Alexandria
Functional: PBE
Structure: relaxed

Calculated values
Size of the total moment in Bohr magnetons per cell: 3.91
E_tot in Ry per atom: -0.500
N(E_F) in states/eV per cell: 6.3
SG: P4/mmm, No. 123

Cell and atoms, written as POSCAR:
```
TaFeSe2N
1.0
-1.323 -2.671 -4.210
3.379 -3.683 1.276
-2.744 -1.819 2.016
Fe Se Ta N
1 2 1 1
direct
0.500 0.500 0.500
0.500 0.000 0.000
0.000 0.500 0.000
0.000 0.000 0.000
0.000 0.000 0.500
```

=====

No. 13
Compound: TaFeSe2N
Source: Alexandria
Functional: PBE
Structure: relaxed

Calculated values
Size of the total moment in Bohr magnetons per cell: 1.40
E_tot in Ry per atom: -0.492
N(E_F) in states/eV per cell: 3.4
SG: P4/mmm, No. 123

Cell and atoms, written as POSCAR:
```
TaFeSe2N
1.0
4.841 0.000 0.000
0.000 4.841 0.000
0.000 0.000 3.386
Se N Ta Fe
2 1 1 1
direct
0.000 0.500 0.000
0.500 0.000 0.000
0.000 0.000 0.500
0.500 0.500 0.500
0.000 0.000 0.000
```

=====

No. 14
Compound: FeTeSe2N
Source: Alexandria
Functional: PBE
Structure: relaxed

Calculated values
Size of the total moment in Bohr magnetons per cell: 0.00
E_tot in Ry per atom: -0.372
N(E_F) in states/eV per cell: 4.5
SG: P4/mmm, No. 123

Cell and atoms, written as POSCAR:
```
FeTeSe2N
1.0
-3.167 3.561 1.507
0.291 -1.723 4.683
2.696 2.136 0.618
Se N Te Fe
2 1 1 1
direct
0.500 0.000 0.000
0.000 0.500 0.000
0.000 0.000 0.500
0.500 0.500 0.500
0.000 0.000 0.000
```

=====

No. 15
Compound: FeTeSe2N
Source: Alexandria
Functional: PBE
Structure: relaxed

Calculated values
Size of the total moment in Bohr magnetons per cell: 3.82
E_tot in Ry per atom: -0.304
N(E_F) in states/eV per cell: 7.4
SG: P4/mmm, No. 123

Cell and atoms, written as POSCAR:
```
FeTeSe2N
1.0
-2.458 -2.158 -4.269
4.717 -1.888 -1.762
-0.574 -3.300 1.999
Se N Fe Te
2 1 1 1
direct
0.000 0.500 0.000
0.500 0.000 0.000
0.000 0.000 0.500
0.500 0.500 0.500
0.000 0.000 0.000
```

=====

No. 16
Compound: TiFeSe2N
Source: Alexandria
Functional: PBE
Structure: relaxed

Calculated values
Size of the total moment in Bohr magnetons per cell: 4.39
E_tot in Ry per atom: -0.448
N(E_F) in states/eV per cell: 5.9
SG: P4/mmm, No. 123

Cell and atoms, written as POSCAR:
```
TiFeSe2N
1.0
-4.776 -1.589 0.602
1.682 -4.677 1.000
0.178 0.839 3.623
Se Ti Fe N
2 1 1 1
direct
0.000 0.500 0.000
0.500 0.000 0.000
0.000 0.000 0.000
0.500 0.500 0.500
0.000 0.000 0.500
```

=====

No. 17
Compound: TiFeSe2N
Source: Alexandria
Functional: PBE
Structure: relaxed

Calculated values
Size of the total moment in Bohr magnetons per cell: 0.99
E_tot in Ry per atom: -0.462
N(E_F) in states/eV per cell: 4.6
SG: P4/mmm, No. 123

Cell and atoms, written as POSCAR:
```
TiFeSe2N
1.0
4.853 0.000 0.000
0.000 4.853 0.000
0.000 0.000 3.412
Ti Se N Fe
1 2 1 1
direct
0.500 0.500 0.500
0.500 0.000 0.000
0.000 0.500 0.000
0.000 0.000 0.500
0.000 0.000 0.000
```

=====

No. 18
Compound: TlFeSeN2
Source: Alexandria
Functional: PBE
Structure: relaxed

Calculated values
Size of the total moment in Bohr magnetons per cell: 3.35
E_tot in Ry per atom: -0.298
N(E_F) in states/eV per cell: 8.3
SG: P4/mmm, No. 123

Cell and atoms, written as POSCAR:
```
TlFeSeN2
1.0
4.163 0.000 0.000
0.000 4.163 0.000
0.000 0.000 6.113
N Tl Fe Se
2 1 1 1
direct
0.500 0.000 0.000
0.000 0.500 0.000
0.000 0.000 0.000
0.500 0.500 0.500
0.000 0.000 0.500
```

=====

No. 19
Compound: TlFeSeN2
Source: Alexandria
Functional: PBE
Structure: relaxed

Calculated values
Size of the total moment in Bohr magnetons per cell: 0.18
E_tot in Ry per atom: -0.393
N(E_F) in states/eV per cell: 3.5
SG: P4/mmm, No. 123

Cell and atoms, written as POSCAR:
```
TlFeSeN2
1.0
3.784 0.000 0.000
0.000 3.784 0.000
0.000 0.000 5.250
Fe Tl N Se
1 1 2 1
direct
0.000 0.000 0.000
0.500 0.500 0.500
0.500 0.000 0.000
0.000 0.500 0.000
0.000 0.000 0.500
```

=====

No. 20
Compound: VFeSe2N
Source: Alexandria
Functional: PBE
Structure: relaxed

Calculated values
Size of the total moment in Bohr magnetons per cell: 3.80
E_tot in Ry per atom: -0.460
N(E_F) in states/eV per cell: 4.9
SG: P4/mmm, No. 123

Cell and atoms, written as POSCAR:
```
VFeSe2N
1.0
-0.726 0.922 4.829
1.697 -4.534 1.121
3.333 1.310 0.251
Se V Fe N
2 1 1 1
direct
0.500 0.000 0.000
0.000 0.500 0.000
0.000 0.000 0.000
0.500 0.500 0.500
0.000 0.000 0.500
```

=====

No. 21
Compound: VFeSe2N
Source: Alexandria
Functional: PBE
Structure: relaxed

Calculated values
Size of the total moment in Bohr magnetons per cell: 2.27
E_tot in Ry per atom: -0.464
N(E_F) in states/eV per cell: 5.0
SG: P4/mmm, No. 123

Cell and atoms, written as POSCAR:
```
VFeSe2N
1.0
-4.756 0.815 0.638
-0.333 -4.045 2.687
0.681 1.795 2.787
N Fe Se V
1 1 2 1
direct
0.000 0.000 0.500
0.000 0.000 0.000
0.500 0.000 0.000
0.000 0.500 0.000
0.500 0.500 0.500
```

=====

No. 22
Compound: VFeSeN2
Source: Alexandria
Functional: PBE
Structure: relaxed

Calculated values
Size of the total moment in Bohr magnetons per cell: 2.72
E_tot in Ry per atom: -0.504
N(E_F) in states/eV per cell: 4.8
SG: P4/mmm, No. 123

Cell and atoms, written as POSCAR:
```
VFeSeN2
1.0
3.615 0.000 0.000
0.000 3.615 0.000
0.000 0.000 5.105
Se Fe V N
1 1 1 2
direct
0.000 0.000 0.500
0.000 0.000 0.000
0.500 0.500 0.500
0.000 0.500 0.000
0.500 0.000 0.000
```

=====

No. 23
Compound: FeWSe2N
Source: Alexandria
Functional: PBE
Structure: relaxed

Calculated values
Size of the total moment in Bohr magnetons per cell: 3.78
E_tot in Ry per atom: -0.500
N(E_F) in states/eV per cell: 5.8
SG: P4/mmm, No. 123

Cell and atoms, written as POSCAR:
```
FeWSe2N
1.0
-2.778 -3.865 1.739
-1.044 -1.391 -4.760
3.070 -2.218 -0.026
Fe W Se N
1 1 2 1
direct
0.500 0.500 0.500
0.000 0.000 0.000
0.500 0.000 0.000
0.000 0.500 0.000
0.000 0.000 0.500
```

=====

No. 24
Compound: FeWSeN2
Source: Alexandria
Functional: PBE
Structure: relaxed

Calculated values
Size of the total moment in Bohr magnetons per cell: 3.63
E_tot in Ry per atom: -0.570
N(E_F) in states/eV per cell: 3.9
SG: P4/mmm, No. 123

Cell and atoms, written as POSCAR:
```
FeWSeN2
1.0
3.880 0.000 0.000
0.000 3.880 0.000
0.000 0.000 5.297
Fe N W Se
1 2 1 1
direct
0.500 0.500 0.500
0.500 0.000 0.000
0.000 0.500 0.000
0.000 0.000 0.000
0.000 0.000 0.500
```

=====

No. 25
Compound: FeWSeN2
Source: Alexandria
Functional: PBE
Structure: relaxed

Calculated values
Size of the total moment in Bohr magnetons per cell: 2.39
E_tot in Ry per atom: -0.513
N(E_F) in states/eV per cell: 4.2
SG: P4/mmm, No. 123

Cell and atoms, written as POSCAR:
```
FeWSeN2
1.0
3.682 0.000 0.000
0.000 3.682 0.000
0.000 0.000 4.838
W N Se Fe
1 2 1 1
direct
0.500 0.500 0.500
0.500 0.000 0.000
0.000 0.500 0.000
0.000 0.000 0.500
0.000 0.000 0.000
```

=====

No. 26
Compound: FeWSe2N
Source: Alexandria
Functional: PBE
Structure: relaxed

Calculated values
Size of the total moment in Bohr magnetons per cell: 2.48
E_tot in Ry per atom: -0.484
N(E_F) in states/eV per cell: 2.5
SG: P4/mmm, No. 123

Cell and atoms, written as POSCAR:
```
FeWSe2N
1.0
-3.468 -0.129 3.372
1.403 -4.452 1.273
2.135 1.315 2.246
W Se N Fe
1 2 1 1
direct
0.500 0.500 0.500
0.500 0.000 0.000
0.000 0.500 0.000
0.000 0.000 0.500
0.000 0.000 0.000
```

=====

No. 27
Compound: YFeSeN2
Source: Alexandria
Functional: PBE
Structure: relaxed

Calculated values
Size of the total moment in Bohr magnetons per cell: 1.36
E_tot in Ry per atom: -0.516
N(E_F) in states/eV per cell: 3.2
SG: P4/mmm, No. 123

Cell and atoms, written as POSCAR:
```
YFeSeN2
1.0
3.842 0.000 0.000
0.000 3.842 0.000
0.000 0.000 4.823
Se N Fe Y
1 2 1 1
direct
0.000 0.000 0.500
0.000 0.500 0.000
0.500 0.000 0.000
0.000 0.000 0.000
0.500 0.500 0.500
```

=====

No. 28
Compound: YFeSe2N
Source: Alexandria
Functional: PBE
Structure: relaxed

Calculated values
Size of the total moment in Bohr magnetons per cell: 0.02
E_tot in Ry per atom: -0.485
N(E_F) in states/eV per cell: 4.2
SG: P4/mmm, No. 123

Cell and atoms, written as POSCAR:
```
YFeSe2N
1.0
4.959 0.000 0.000
0.000 4.959 0.000
0.000 0.000 3.524
Se Fe Y N
2 1 1 1
direct
0.500 0.000 0.000
0.000 0.500 0.000
0.000 0.000 0.000
0.500 0.500 0.500
0.000 0.000 0.500
```

=====

No. 29
Compound: YFeSe2N
Source: Alexandria
Functional: PBE
Structure: relaxed

Calculated values
Size of the total moment in Bohr magnetons per cell: 5.98
E_tot in Ry per atom: -0.402
N(E_F) in states/eV per cell: 6.9
SG: P4/mmm, No. 123

Cell and atoms, written as POSCAR:
```
YFeSe2N
1.0
5.499 0.000 0.000
0.000 5.499 0.000
0.000 0.000 4.336
Se Fe Y N
2 1 1 1
direct
0.000 0.500 0.000
0.500 0.000 0.000
0.500 0.500 0.500
0.000 0.000 0.000
0.000 0.000 0.500
```